[1]
Entry from the Alexandria database: a relaxed In2PdS crystal (PBE). Values from VASP.

Computed properties:
The uncorrected formation energy is -0.331 eV per atom. For the density of states at the Fermi level, the calculation gives 0.180 states/eV per atom. The calculation puts the theoretical density at 7.281 g cm⁻³. Its space-group type is R3m, No. 160.

Structure (Quantum ESPRESSO input):
```
&SYSTEM
  ibrav = 0, nat = 4, ntyp = 3
/
ATOMIC_SPECIES
Pd 106.42 Pd.upf
S 32.06 S.upf
In 114.82 In.upf
CELL_PARAMETERS angstrom
3.5760 0.0000 0.0000
1.7880 3.0969 0.0000
1.7880 1.0323 7.5810
ATOMIC_POSITIONS crystal
Pd 0.6666 0.6666 0.0003
S 0.5021 0.5021 0.4937
In 0.2482 0.2482 0.2553
In 0.0831 0.0831 0.7507
```

[2]
Entry from the Alexandria database: a relaxed KAg2P crystal (PBE). Values from VASP.

Computed properties:
Its energy of formation is 363 meV/atom. For the density of states at the Fermi level, the calculation gives 0.310 states/eV per atom. The calculation puts the theoretical density at 5.515 g cm⁻³. Its space-group type is P4/mmm, No. 123.

Structure (Quantum ESPRESSO input):
```
&SYSTEM
  ibrav = 0, nat = 4, ntyp = 3
/
ATOMIC_SPECIES
Ag 107.87 Ag.upf
K 39.10 K.upf
P 30.97 P.upf
CELL_PARAMETERS angstrom
4.5225 0.0000 0.0000
0.0000 4.5225 0.0000
0.0000 0.0000 4.2077
ATOMIC_POSITIONS crystal
Ag 0.0000 0.0000 0.0000
K 0.5000 0.0000 0.5000
Ag 0.5000 0.5000 0.0000
P 0.0000 0.5000 0.5000
```

[3]
Entry from the Alexandria database: a relaxed Nd6Lu crystal (PBE). Values from VASP.

Computed properties:
Its energy of formation is 1310 meV/atom. For the density of states at the Fermi level, the calculation gives 0.821 states/eV per atom. The calculation puts the theoretical density at 6.274 g cm⁻³. Its space-group type is Im-3m, No. 229.

Structure (Quantum ESPRESSO input):
```
&SYSTEM
  ibrav = 0, nat = 7, ntyp = 2
/
ATOMIC_SPECIES
Nd 144.24 Nd.upf
Lu 174.97 Lu.upf
CELL_PARAMETERS angstrom
-0.6503 -3.5902 -6.0893
0.8003 -4.5737 5.3696
-5.8246 3.9134 1.0732
ATOMIC_POSITIONS crystal
Nd 0.2500 0.5000 0.7500
Nd 0.2500 0.7500 0.5000
Nd 0.5000 0.7500 0.2500
Nd 0.7500 0.2500 0.5000
Lu 0.0000 0.0000 0.0000
Nd 0.7500 0.5000 0.2500
Nd 0.5000 0.2500 0.7500
```